A plane-wave DFT calculation with PBE was carried out for a relaxed MnCrSe2N crystal.

Cell: 5.0045 5.0045 3.5269 Å, 90.00 90.00 90.00°
Closest atoms and distances in Å follow each position.
Space group P4/mmm (No. 123)
Unique sites:
Mn 0.0000 0.0000 0.0000  8 Se 3.06
Cr 0.5000 0.5000 0.5000  2 N 1.76
Se 0.0000 0.5000 0.5000  2 Cr 2.50
N 0.5000 0.5000 0.0000  2 Cr 1.76

Calculated values
The total magnetic moment is 6.08 μB per formula unit. As for the uncorrected formation energy: 157 meV/atom. The calculation puts the distance to the lowest polymorph of the same formula at 0.000 eV/atom.